1.
An optimized crystal structure of Tl8AuSe4, computed with PBE.

Values from the calculation:
energy: -3.07 eV/atom
DOS at the Fermi energy: 0.2893 states/eV/atom
crystal system: trigonal

Geometry as POSCAR:
```
Tl8AuSe4
1.0
7.6788 0.3646 3.5035
2.3956 7.3047 3.5035
0.4789 0.3646 8.4267
Tl Au Se
8 1 4
Cartesian
3.8563 5.6411 5.6396
7.6432 5.8184 7.3639
6.6971 2.3927 9.7940
4.0892 5.8184 9.7940
7.9536 6.0547 11.6317
2.5998 1.9791 3.8020
6.4641 2.2154 5.6396
2.9102 2.2154 8.0698
5.2767 4.0169 7.7168
4.0789 0.3646 5.9651
1.4373 3.8346 5.9651
5.0372 3.8346 3.5035
0.0000 0.0000 0.0000
```

=====

2.
An optimized crystal structure of Tl2AuSe, computed with PBE.

Values from the calculation:
energy: -2.90 eV/atom
DOS at the Fermi energy: 0.2910 states/eV/atom
crystal system: monoclinic
E above lowest polymorph: 2.78 kcal/mol of atoms

Geometry as POSCAR:
```
Tl2AuSe
1.0
-3.0299 1.4084 -2.6333
-0.1403 -2.7904 -1.3311
-5.6854 -3.3993 4.7236
Au Se Tl
1 1 2
Cartesian
-2.9714 -0.8432 -0.4685
-5.8842 -3.9380 1.2278
-0.0265 -0.0249 0.0171
-2.8864 -3.0699 1.6792
```

=====

3.
An optimized crystal structure of Tl4Au2Se, computed with PBE.

Values from the calculation:
energy: -2.66 eV/atom
DOS at the Fermi energy: 0.3557 states/eV/atom
crystal system: tetragonal

Geometry as POSCAR:
```
Tl4Au2Se
1.0
-5.4878 1.5520 -0.8239
-1.7541 -4.9968 2.2712
-3.7537 1.3963 7.4825
Tl Au Se
4 2 1
Cartesian
-7.2970 -2.1508 4.2516
-3.6986 0.1023 4.6781
-0.8771 -2.4984 1.1356
-2.7439 0.7760 -0.4120
-7.3494 -0.9197 6.9197
-3.6462 -1.1288 2.0101
0.0000 0.0000 0.0000
```

=====

Number 2 is which compound? Tl2AuSe